# 1
{
  "formula": "SrTc2Hg",
  "functional": "PBE-GGA",
  "state": "relaxed",
  "lattice_angstrom": [[3.4193, 0.0000, 0.0000], [0.0000, 4.7156, 0.0000], [0.0000, 0.0000, 4.9662]],
  "species": ["Sr", "Tc", "Tc", "Hg"],
  "frac_coords": [[0.0000, 0.0000, 0.0000], [0.0000, 0.5000, 0.5000], [0.5000, 0.0000, 0.5000], [0.5000, 0.5000, 0.0000]],
  "space_group": "Pmmm",
  "vol_a3_per_cell": 80.1,
  "dos_ef_per_ev_fu": 4.17,
  "formation_energy_ev_per_atom": 0.8807
}

=====

# 2
{
  "formula": "SrTc2Hg",
  "functional": "PBE-GGA",
  "state": "relaxed",
  "lattice_angstrom": [[-1.8926, 2.5693, 4.5889], [1.8926, -2.5693, 4.5889], [1.8926, 2.5693, -4.5889]],
  "species": ["Sr", "Tc", "Tc", "Hg"],
  "frac_coords": [[0.0000, 0.0000, 0.0000], [0.2788, 0.7788, 0.5000], [0.4333, 0.4333, 0.0000], [0.7131, 0.2131, 0.5000]],
  "space_group": "Imm2",
  "vol_a3_per_cell": 89.3,
  "dos_ef_per_ev_fu": 4.26,
  "formation_energy_ev_per_atom": 0.5596
}

=====

# 3
{
  "formula": "SrTc4Hg",
  "functional": "PBE-GGA",
  "state": "relaxed",
  "lattice_angstrom": [[0.0000, 3.8127, 3.8127], [3.8127, 0.0000, 3.8127], [3.8127, 3.8127, 0.0000]],
  "species": ["Sr", "Tc", "Tc", "Tc", "Tc", "Hg"],
  "frac_coords": [[0.0000, 0.0000, 0.0000], [0.1282, 0.6239, 0.6239], [0.6239, 0.1282, 0.6239], [0.6239, 0.6239, 0.1282], [0.6239, 0.6239, 0.6239], [0.2500, 0.2500, 0.2500]],
  "space_group": "F-43m",
  "vol_a3_per_cell": 110.8,
  "dos_ef_per_ev_fu": 5.25,
  "formation_energy_ev_per_atom": 0.5568
}

=====

# 4
{
  "formula": "Sr2HgTe",
  "functional": "PBE-GGA",
  "state": "relaxed",
  "lattice_angstrom": [[4.9446, 0.0000, 0.0000], [0.0000, 2.2691, 6.3366], [0.0000, -2.2691, 6.3366]],
  "species": ["Sr", "Sr", "Hg", "Te"],
  "frac_coords": [[0.0000, 0.0000, 0.0000], [0.5000, 0.2628, 0.2628], [0.5000, 0.5219, 0.5219], [0.0000, 0.7286, 0.7286]],
  "space_group": "Amm2",
  "vol_a3_per_cell": 142.2,
  "formation_energy_uncorrected_ev_per_atom": -0.943,
  "dos_ef_per_ev_fu": 2.89,
  "relative_energy_ev_per_atom": 0.058
}

=====

# 5
{
  "formula": "SrHgTe2",
  "functional": "PBE-GGA",
  "state": "relaxed",
  "lattice_angstrom": [[4.4701, 0.0000, 0.0000], [0.0000, 4.4701, 0.0000], [0.0000, 0.0000, 7.0747]],
  "species": ["Sr", "Hg", "Te", "Te"],
  "frac_coords": [[0.0000, 0.0000, 0.0000], [0.0000, 0.0000, 0.5000], [0.5000, 0.5000, 0.2020], [0.5000, 0.5000, 0.7980]],
  "space_group": "P4/mmm",
  "vol_a3_per_cell": 141.4,
  "formation_energy_uncorrected_ev_per_atom": -0.760,
  "dos_ef_per_ev_fu": 0.63
}

=====

# 6
{
  "formula": "Sr2HgTe",
  "functional": "PBE-GGA",
  "state": "relaxed",
  "lattice_angstrom": [[4.0201, -4.0143, 0.0000], [4.0201, 4.0143, 0.0000], [-0.0092, 0.0000, 4.1125]],
  "species": ["Sr", "Sr", "Hg", "Te"],
  "frac_coords": [[0.0000, 0.5000, 0.0000], [0.5000, 0.0000, 0.0000], [0.0000, 0.0000, 0.5000], [0.5000, 0.5000, 0.5000]],
  "space_group": "C2/m",
  "vol_a3_per_cell": 132.7,
  "formation_energy_uncorrected_ev_per_atom": -0.946,
  "dos_ef_per_ev_fu": 2.13,
  "relative_energy_ev_per_atom": 0.055
}